A relaxed CoSbI2F crystal, computed with PBE+U.

offset from the most stable computed form	20	meV/atom
total magnetic moment	2.3	μB per formula unit

Unit cell a=5.920 b=5.920 c=4.204 alpha=90.00 beta=90.00 gamma=90.00
Site moments in Bohr magnetons follow the coordinates.
Fractional positions:
I (0.000, 0.500, 0.000)  0.00
I (0.500, 0.000, 0.000)  0.00
Sb (0.000, 0.000, 0.500)  0.04
Co (0.500, 0.500, 0.500)  2.08
F (0.000, 0.000, 0.000)  0.00